VASP calculation (GGA-PBE) on a geometry-optimized Pm12HoAl4O3 structure.

abc: 8.7874 8.7874 8.7874
angles: 109.47 109.47 109.47
Last column: nearest neighbours and their distance in Å.
Fractional positions:
1 Pm 0.0000 0.7258 0.7258  1 O 2.29
2 Pm 0.7258 0.7258 0.0000  1 O 2.29
3 Pm 0.7258 0.0000 0.7258  1 O 2.29
4 Pm 0.7500 0.5000 0.2500  2 O 2.54
5 Pm 0.5000 0.7500 0.2500  2 O 2.54
6 Pm 0.5000 0.2500 0.7500  2 O 2.54
7 O 0.5000 0.5000 0.0000  6 Pm 2.29-2.54
8 Pm 0.2500 0.5000 0.7500  2 O 2.54
9 O 0.5000 0.0000 0.5000  6 Pm 2.29-2.54
10 Pm 0.2500 0.7500 0.5000  2 O 2.54
11 O 0.0000 0.5000 0.5000  6 Pm 2.29-2.54
12 Pm 0.2742 0.2742 0.0000  1 O 2.29
13 Pm 0.7500 0.2500 0.5000  2 O 2.54
14 Al 0.5000 0.5000 0.5000  12 Pm 3.59-3.60
15 Pm 0.2742 0.0000 0.2742  1 O 2.29
16 Pm 0.0000 0.2742 0.2742  1 O 2.29
17 Al 0.0000 0.0000 0.5000  12 Pm 3.59-3.60
18 Ho 0.0000 0.0000 0.0000  6 Pm 2.78
19 Al 0.0000 0.5000 0.0000  12 Pm 3.59-3.60
20 Al 0.5000 0.0000 0.0000  12 Pm 3.59-3.60

* calculated volume: 26.1 Å³/atom
* crystal system: cubic
* symmetry: Im-3m, No. 229
* E_tot: -5.251 eV/atom